The following is a GGA-PBE calculation of a relaxed CaHf2Au2 crystal, from the Alexandria database.

The structure in CIF format:
```
data_CaHf2Au2
_chemical_formula_sum 'Ca2 Hf4 Au4'
_space_group_name_H-M_alt 'I 4/m m m'
_space_group_IT_number 139
_space_group_name_Hall '-I 4 2'
_cell_length_a 4.250
_cell_length_b 4.250
_cell_length_c 13.194
_cell_angle_alpha 90.00
_cell_angle_beta 90.00
_cell_angle_gamma 90.00
loop_
_atom_site_label
_atom_site_fract_x
_atom_site_fract_y
_atom_site_fract_z
_atom_site_occupancy
Ca1 0.000 0.000 0.000 1
Hf1 0.000 0.500 0.250 1
Au1 0.000 0.000 0.395 1
```

Output
ΔE_f	-1.44	eV/f.u.
M_tot	0.0	μB per formula unit
offset from the most stable computed form	27	meV per atom